This record from Alexandria describes a geometry-optimized MnSe2 structure. The functional is GGA-PBE.

Geometry as CIF:
```
data_MnSe2
_symmetry_space_group_name_H-M 'I 4/m c m'
_symmetry_Int_Tables_number 140
_symmetry_space_group_name_Hall '-I 4 2c'
_cell_length_a 5.9822
_cell_length_b 5.9822
_cell_length_c 6.7580
_cell_angle_alpha 90.00
_cell_angle_beta 90.00
_cell_angle_gamma 90.00
loop_
_atom_site_label
_atom_site_type_symbol
_atom_site_fract_x
_atom_site_fract_y
_atom_site_fract_z
Mn1 Mn 0.0000 0.0000 0.2500
Se1 Se 0.1446 0.3554 0.0000
```

## Properties
**M_tot**: 18.8 μB/cell
**Crystal system**: tetragonal

=====

This record from Alexandria describes a geometry-optimized Mn4Se structure. The functional is GGA-PBE.

Geometry as CIF:
```
data_Mn4Se
_symmetry_space_group_name_H-M 'P m -3 m'
_symmetry_Int_Tables_number 221
_symmetry_space_group_name_Hall '-P 4 2 3'
_cell_length_a 4.5140
_cell_length_b 4.5140
_cell_length_c 4.5140
_cell_angle_alpha 90.00
_cell_angle_beta 90.00
_cell_angle_gamma 90.00
loop_
_atom_site_label
_atom_site_type_symbol
_atom_site_fract_x
_atom_site_fract_y
_atom_site_fract_z
Mn1 Mn 0.0000 0.0000 0.0000
Mn2 Mn 0.0000 0.5000 0.5000
Se1 Se 0.5000 0.5000 0.5000
```

## Properties
**M_tot**: 13.8 μB/cell
**Relative energy among the computed polymorphs**: 368 meV per atom
**Crystal system**: cubic

=====

This record from Alexandria describes a geometry-optimized MnSe2 structure. The functional is GGA-PBE.

Geometry as CIF:
```
data_MnSe2
_symmetry_space_group_name_H-M 'C m c m'
_symmetry_Int_Tables_number 63
_symmetry_space_group_name_Hall '-C 2c 2'
_cell_length_a 3.5549
_cell_length_b 13.9029
_cell_length_c 5.1943
_cell_angle_alpha 90.00
_cell_angle_beta 90.00
_cell_angle_gamma 90.00
loop_
_atom_site_label
_atom_site_type_symbol
_atom_site_fract_x
_atom_site_fract_y
_atom_site_fract_z
Mn1 Mn 0.0000 0.1709 0.2500
Se1 Se 0.0000 0.2012 0.7500
Se2 Se 0.0000 0.4485 0.7500
```

## Properties
**M_tot**: 12.2 μB/cell
**Crystal system**: orthorhombic

=====

This record from Alexandria describes a geometry-optimized MnSe2 structure. The functional is GGA-PBE.

Geometry as CIF:
```
data_MnSe2
_symmetry_space_group_name_H-M 'I 41/a m d'
_symmetry_Int_Tables_number 141
_cell_length_a 2.9517
_cell_length_b 2.9517
_cell_length_c 30.1048
_cell_angle_alpha 90.00
_cell_angle_beta 90.00
_cell_angle_gamma 90.00
loop_
_symmetry_equiv_pos_as_xyz
'x,y,z'
'-x,-y,-z'
'-y+1/4,x+3/4,z+1/4'
'y+1/4,-x+3/4,-z+1/4'
'-x+1/2,-y,z+1/2'
'x+1/2,y,-z+1/2'
'y+1/4,-x+1/4,z+3/4'
'-y+1/4,x+1/4,-z+3/4'
'x,-y,-z'
'-x,y,z'
'-y+1/4,-x+1/4,-z+3/4'
'y+1/4,x+1/4,z+3/4'
'-x+1/2,y,-z+1/2'
'x+1/2,-y,z+1/2'
'y+1/4,x+3/4,-z+1/4'
'-y+1/4,-x+3/4,z+1/4'
'x+1/2,y+1/2,z+1/2'
'-x+1/2,-y+1/2,-z+1/2'
'-y+3/4,x+1/4,z+3/4'
'y+3/4,-x+1/4,-z+3/4'
'-x,-y+1/2,z'
'x,y+1/2,-z'
'y+3/4,-x+3/4,z+1/4'
'-y+3/4,x+3/4,-z+1/4'
'x+1/2,-y+1/2,-z+1/2'
'-x+1/2,y+1/2,z+1/2'
'-y+3/4,-x+3/4,-z+1/4'
'y+3/4,x+3/4,z+1/4'
'-x,y+1/2,-z'
'x,-y+1/2,z'
'y+3/4,x+1/4,-z+3/4'
'-y+3/4,-x+1/4,z+3/4'
loop_
_atom_site_label
_atom_site_type_symbol
_atom_site_fract_x
_atom_site_fract_y
_atom_site_fract_z
Mn1 Mn 0.0000 0.2500 0.3750
Se1 Se 0.0000 0.2500 0.8252
```

## Properties
**M_tot**: 4.9 μB/cell
**Crystal system**: tetragonal

=====

This record from Alexandria describes a geometry-optimized MnSe5 structure. The functional is GGA-PBE.

Geometry as CIF:
```
data_MnSe5
_symmetry_space_group_name_H-M 'P -6 2 m'
_symmetry_Int_Tables_number 189
_symmetry_space_group_name_Hall 'P -6 -2'
_cell_length_a 6.4093
_cell_length_b 6.4093
_cell_length_c 3.6127
_cell_angle_alpha 90.00
_cell_angle_beta 90.00
_cell_angle_gamma 120.00
loop_
_atom_site_label
_atom_site_type_symbol
_atom_site_fract_x
_atom_site_fract_y
_atom_site_fract_z
Mn1 Mn 0.0000 0.0000 0.0000
Se1 Se 0.0000 0.7113 0.5000
Se2 Se 0.3333 0.6667 0.0000
```

## Properties
**M_tot**: 3.3 μB/cell
**Crystal system**: hexagonal

=====

This record from Alexandria describes a geometry-optimized Mn3Se2 structure. The functional is GGA-PBE.

Geometry as CIF:
```
data_Mn3Se2
_symmetry_space_group_name_H-M 'P -3 m 1'
_symmetry_Int_Tables_number 164
_symmetry_space_group_name_Hall '-P 3 2"'
_cell_length_a 4.0906
_cell_length_b 4.0906
_cell_length_c 7.1897
_cell_angle_alpha 90.00
_cell_angle_beta 90.00
_cell_angle_gamma 120.00
loop_
_atom_site_label
_atom_site_type_symbol
_atom_site_fract_x
_atom_site_fract_y
_atom_site_fract_z
Mn1 Mn 0.0000 0.0000 0.0000
Mn2 Mn 0.3333 0.6667 0.1274
Se1 Se 0.3333 0.6667 0.7482
```

## Properties
**M_tot**: 2.9 μB/cell
**Crystal system**: trigonal

=====

This record from Alexandria describes a geometry-optimized MnSe5 structure. The functional is GGA-PBE.

Geometry as CIF:
```
data_MnSe5
_symmetry_space_group_name_H-M 'P 6/m m m'
_symmetry_Int_Tables_number 191
_symmetry_space_group_name_Hall '-P 6 2'
_cell_length_a 5.1035
_cell_length_b 5.1035
_cell_length_c 9.0446
_cell_angle_alpha 90.00
_cell_angle_beta 90.00
_cell_angle_gamma 120.00
loop_
_atom_site_label
_atom_site_type_symbol
_atom_site_fract_x
_atom_site_fract_y
_atom_site_fract_z
Mn1 Mn 0.0000 0.0000 0.0000
Se1 Se 0.0000 0.5000 0.5000
Se2 Se 0.3333 0.6667 0.0000
```

## Properties
**M_tot**: 6.1 μB/cell
**Crystal system**: hexagonal

=====

This record from Alexandria describes a geometry-optimized MnSe2 structure. The functional is GGA-PBE.

Geometry as CIF:
```
data_MnSe2
_symmetry_space_group_name_H-M 'P a -3'
_symmetry_Int_Tables_number 205
_symmetry_space_group_name_Hall '-P 2ac 2ab 3'
_cell_length_a 6.1717
_cell_length_b 6.1717
_cell_length_c 6.1717
_cell_angle_alpha 90.00
_cell_angle_beta 90.00
_cell_angle_gamma 90.00
loop_
_atom_site_label
_atom_site_type_symbol
_atom_site_fract_x
_atom_site_fract_y
_atom_site_fract_z
Mn1 Mn 0.0000 0.0000 0.0000
Se1 Se 0.1313 0.6313 0.8687
```

## Properties
**M_tot**: 12.5 μB/cell
**Crystal system**: cubic

=====

This record from Alexandria describes a geometry-optimized Mn5Se4 structure. The functional is GGA-PBE.

Geometry as CIF:
```
data_Mn5Se4
_symmetry_space_group_name_H-M 'P 63/m c m'
_symmetry_Int_Tables_number 193
_symmetry_space_group_name_Hall '-P 6c 2'
_cell_length_a 7.1434
_cell_length_b 7.1434
_cell_length_c 7.4812
_cell_angle_alpha 90.00
_cell_angle_beta 90.00
_cell_angle_gamma 120.00
loop_
_atom_site_label
_atom_site_type_symbol
_atom_site_fract_x
_atom_site_fract_y
_atom_site_fract_z
Mn1 Mn 0.0000 0.2342 0.2500
Mn2 Mn 0.3333 0.6667 0.0000
Se1 Se 0.0000 0.0000 0.0000
Se2 Se 0.0000 0.4177 0.7500
```

## Properties
**M_tot**: 39.4 μB/cell
**Crystal system**: hexagonal

=====

This record from Alexandria describes a geometry-optimized Mn3Se2 structure. The functional is GGA-PBE.

Geometry as CIF:
```
data_Mn3Se2
_symmetry_space_group_name_H-M 'F d d 2'
_symmetry_Int_Tables_number 43
_symmetry_space_group_name_Hall 'F 2 -2d'
_cell_length_a 11.5684
_cell_length_b 11.9397
_cell_length_c 4.6869
_cell_angle_alpha 90.00
_cell_angle_beta 90.00
_cell_angle_gamma 90.00
loop_
_atom_site_label
_atom_site_type_symbol
_atom_site_fract_x
_atom_site_fract_y
_atom_site_fract_z
Mn1 Mn 0.0000 0.0000 0.0000
Mn2 Mn 0.0363 0.3842 0.0260
Se1 Se 0.0842 0.3104 0.5227
```

## Properties
**M_tot**: 74.8 μB/cell
**Crystal system**: orthorhombic

=====

This record from Alexandria describes a geometry-optimized MnSe2 structure. The functional is GGA-PBE.

Geometry as CIF:
```
data_MnSe2
_symmetry_space_group_name_H-M 'C 1 2/m 1'
_symmetry_Int_Tables_number 12
_cell_length_a 13.3252
_cell_length_b 3.4365
_cell_length_c 9.4059
_cell_angle_alpha 90.00
_cell_angle_beta 132.41
_cell_angle_gamma 90.00
loop_
_symmetry_equiv_pos_as_xyz
'x,y,z'
'-x,-y,-z'
'-x,y,-z'
'x,-y,z'
'x+1/2,y+1/2,z'
'-x+1/2,-y+1/2,-z'
'-x+1/2,y+1/2,-z'
'x+1/2,-y+1/2,z'
loop_
_atom_site_label
_atom_site_type_symbol
_atom_site_fract_x
_atom_site_fract_y
_atom_site_fract_z
Mn1 Mn 0.2370 0.0000 0.3420
Se1 Se 0.0978 0.0000 0.4264
Se2 Se 0.1371 0.5000 0.1006
```

## Properties
**M_tot**: 12.0 μB/cell
**Crystal system**: monoclinic

=====

This record from Alexandria describes a geometry-optimized MnSe2 structure. The functional is GGA-PBE.

Geometry as CIF:
```
data_MnSe2
_symmetry_space_group_name_H-M 'F m -3 m'
_symmetry_Int_Tables_number 225
_symmetry_space_group_name_Hall '-F 4 2 3'
_cell_length_a 6.2846
_cell_length_b 6.2846
_cell_length_c 6.2846
_cell_angle_alpha 90.00
_cell_angle_beta 90.00
_cell_angle_gamma 90.00
loop_
_atom_site_label
_atom_site_type_symbol
_atom_site_fract_x
_atom_site_fract_y
_atom_site_fract_z
Mn1 Mn 0.0000 0.0000 0.0000
Se1 Se 0.2500 0.2500 0.2500
```

## Properties
**M_tot**: 13.6 μB/cell
**Crystal system**: cubic

=====

This record from Alexandria describes a geometry-optimized MnSe2 structure. The functional is GGA-PBE.

Geometry as CIF:
```
data_MnSe2
_symmetry_space_group_name_H-M 'I 4/m m m'
_symmetry_Int_Tables_number 139
_symmetry_space_group_name_Hall '-I 4 2'
_cell_length_a 2.9566
_cell_length_b 2.9566
_cell_length_c 13.4647
_cell_angle_alpha 90.00
_cell_angle_beta 90.00
_cell_angle_gamma 90.00
loop_
_atom_site_label
_atom_site_type_symbol
_atom_site_fract_x
_atom_site_fract_y
_atom_site_fract_z
Mn1 Mn 0.0000 0.0000 0.0000
Se1 Se 0.0000 0.0000 0.3888
```

## Properties
**M_tot**: 2.5 μB/cell
**Crystal system**: tetragonal

=====

This record from Alexandria describes a geometry-optimized MnSe2 structure. The functional is GGA-PBE.

Geometry as CIF:
```
data_MnSe2
_symmetry_space_group_name_H-M 'P 4/m m m'
_symmetry_Int_Tables_number 123
_symmetry_space_group_name_Hall '-P 4 2'
_cell_length_a 4.2739
_cell_length_b 4.2739
_cell_length_c 3.5121
_cell_angle_alpha 90.00
_cell_angle_beta 90.00
_cell_angle_gamma 90.00
loop_
_atom_site_label
_atom_site_type_symbol
_atom_site_fract_x
_atom_site_fract_y
_atom_site_fract_z
Mn1 Mn 0.0000 0.0000 0.0000
Se1 Se 0.0000 0.5000 0.5000
```

## Properties
**M_tot**: 4.2 μB/cell
**Crystal system**: tetragonal

=====

no.,formation energy from raw total energies (meV/atom)
1,-98
2,717
3,-359
4,-68
5,245
6,-105
7,521
8,-302
9,-13
10,3
11,-329
12,-128
13,-67
14,31